(1)
A relaxed Te2AsPbI crystal. Source: Alexandria, functional PBEsol.

POSCAR file:
```
Te2AsPbI
1.0
5.7999 0.0000 0.0000
0.0000 5.7999 0.0000
0.0000 0.0000 5.8637
Te As Pb I
2 1 1 1
direct
0.0000 0.5000 0.0000
0.5000 0.0000 0.0000
0.0000 0.0000 0.5000
0.5000 0.5000 0.0000
0.5000 0.5000 0.5000
```

Values from the calculation:
**DFT total energy**: -13.604 eV per cell

---

(2)
A relaxed Al2CrHg crystal. Source: Alexandria, functional PBEsol.

POSCAR file:
```
Al2CrHg
1.0
-3.6433 3.6433 2.7400
3.6433 -3.6433 2.7400
3.6433 3.6433 -2.7400
Al Cr Hg
4 2 2
direct
0.1201 0.6250 0.9951
0.3750 0.3701 0.4951
0.6299 0.1250 0.0049
0.8750 0.8799 0.5049
0.0000 0.0000 0.0000
0.7500 0.2500 0.5000
0.2500 0.7500 0.5000
0.5000 0.5000 0.0000
```

Values from the calculation:
**Energy of formation from the pure elements**: 0.49 eV per atom

---

(3)
A relaxed Ba2TcPt crystal. Source: Alexandria, functional PBEsol.

POSCAR file:
```
Ba2TcPt
1.0
0.0000 3.6872 3.6872
3.6872 0.0000 3.6872
3.6872 3.6872 0.0000
Ba Tc Pt
2 1 1
direct
0.0000 0.0000 0.0000
0.2500 0.2500 0.2500
0.5000 0.5000 0.5000
0.7500 0.7500 0.7500
```

Values from the calculation:
**Energy of formation from the pure elements**: 0.67 eV per atom

---

(4)
A relaxed Na2Sn2Se5 crystal. Source: Alexandria, functional PBEsol.

POSCAR file:
```
Na2Sn2Se5
1.0
11.5990 0.0000 0.0000
0.0000 13.8329 0.0000
0.0000 0.0000 12.3864
Na Sn Se
16 16 40
direct
0.0022 0.2357 0.0038
0.0022 0.2643 0.5038
0.2461 0.2075 0.7453
0.2461 0.2925 0.2453
0.2539 0.7075 0.7453
0.2539 0.7925 0.2453
0.4978 0.7357 0.0038
0.4978 0.7643 0.5038
0.5022 0.2357 0.4962
0.5022 0.2643 0.9962
0.7461 0.2075 0.7547
0.7461 0.2925 0.2547
0.7539 0.7075 0.7547
0.7539 0.7925 0.2547
0.9978 0.7357 0.4962
0.9978 0.7643 0.9962
0.0546 0.0545 0.2831
0.0546 0.4455 0.7831
0.2380 0.5298 0.0304
0.2380 0.9702 0.5304
0.2620 0.0298 0.0304
0.2620 0.4702 0.5304
0.4454 0.5545 0.2831
0.4454 0.9455 0.7831
0.5546 0.0545 0.2169
0.5546 0.4455 0.7169
0.7380 0.5298 0.4696
0.7380 0.9702 0.9696
0.7620 0.0298 0.4696
0.7620 0.4702 0.9696
0.9454 0.5545 0.2169
0.9454 0.9455 0.7169
0.0025 0.7244 0.2448
0.0025 0.7756 0.7448
0.0714 0.0685 0.6155
0.0714 0.4315 0.1155
0.0886 0.5556 0.6195
0.0886 0.9444 0.1195
0.2376 0.5689 0.3565
0.2376 0.9311 0.8565
0.2438 0.7068 0.9988
0.2438 0.7932 0.4988
0.2562 0.2068 0.9988
0.2562 0.2932 0.4988
0.2624 0.0689 0.3565
0.2624 0.4311 0.8565
0.4114 0.0556 0.6195
0.4114 0.4444 0.1195
0.4286 0.5685 0.6155
0.4286 0.9315 0.1155
0.4975 0.2244 0.2448
0.4975 0.2756 0.7448
0.5025 0.7244 0.2552
0.5025 0.7756 0.7552
0.5714 0.0685 0.8845
0.5714 0.4315 0.3845
0.5886 0.5556 0.8805
0.5886 0.9444 0.3805
0.7376 0.5689 0.1435
0.7376 0.9311 0.6435
0.7438 0.7068 0.5012
0.7438 0.7932 0.0012
0.7562 0.2068 0.5012
0.7562 0.2932 0.0012
0.7624 0.0689 0.1435
0.7624 0.4311 0.6435
0.9114 0.0556 0.8805
0.9114 0.4444 0.3805
0.9286 0.5685 0.8845
0.9286 0.9315 0.3845
0.9975 0.2244 0.2552
0.9975 0.2756 0.7552
```

Values from the calculation:
**DFT total energy**: -287.155 eV per cell

---

(5)
A relaxed KBaBe2Co crystal. Source: Alexandria, functional PBEsol.

POSCAR file:
```
KBaBe2Co
1.0
5.7655 0.0000 0.0000
0.0000 5.7655 0.0000
0.0000 0.0000 5.1538
K Ba Be Co
1 1 2 1
direct
0.0000 0.0000 0.0000
0.5000 0.5000 0.5000
0.0000 0.5000 0.5000
0.5000 0.0000 0.5000
0.5000 0.5000 0.0000
```

Values from the calculation:
**Energy of formation from the pure elements**: 1.80 eV per atom

---

(6)
A relaxed BaSb2Au crystal. Source: Alexandria, functional PBEsol.

POSCAR file:
```
BaSb2Au
1.0
4.7583 0.0000 0.0000
0.0000 4.9936 0.0000
-0.0366 0.0000 5.5234
Ba Sb Au
1 2 1
direct
0.0000 0.0000 0.0000
0.4952 0.5000 0.2015
0.5275 0.0000 0.5032
0.4470 0.5000 0.7198
```

Values from the calculation:
**DFT total energy**: -17.036 eV per cell

---

(7)
A relaxed CaSn3Hg crystal. Source: Alexandria, functional PBEsol.

POSCAR file:
```
CaSn3Hg
1.0
5.6927 0.0000 0.0000
0.0000 5.6927 0.0000
0.0000 0.0000 5.6927
Ca Sn Hg
1 3 1
direct
0.0000 0.0000 0.0000
0.0000 0.0000 0.5000
0.0000 0.5000 0.0000
0.5000 0.0000 0.0000
0.5000 0.5000 0.5000
```

Values from the calculation:
**Energy of formation from the pure elements**: 0.69 eV per atom

---

(8)
A relaxed Be2InPb crystal. Source: Alexandria, functional PBEsol.

POSCAR file:
```
Be2InPb
1.0
-1.6871 1.9066 6.0306
1.6871 -1.9066 6.0306
1.6871 1.9066 -6.0306
Be In Pb
2 1 1
direct
0.0000 0.0000 0.0000
0.5855 0.0855 0.5000
0.1682 0.6682 0.5000
0.3988 0.3988 0.0000
```

Values from the calculation:
**Offset from the most stable computed form**: 0.0000 eV per atom
**Energy of formation from the pure elements**: 0.52 eV per atom

---

(9)
A relaxed Mo3W crystal. Source: Alexandria, functional PBEsol.

POSCAR file:
```
Mo3W
1.0
3.1318 0.0000 0.0000
0.0000 3.1318 0.0000
0.0000 0.0000 6.2667
Mo W
3 1
direct
0.0000 0.0000 0.0000
0.5000 0.5000 0.2491
0.5000 0.5000 0.7509
0.0000 0.0000 0.5000
```

Values from the calculation:
**Offset from the most stable computed form**: 0.0021 eV per atom
**Energy of formation from the pure elements**: 0.00 eV per atom

---

(10)
A relaxed LiMg4Zr crystal. Source: Alexandria, functional PBEsol.

POSCAR file:
```
LiMg4Zr
1.0
0.0000 4.0543 4.0543
4.0543 0.0000 4.0543
4.0543 4.0543 0.0000
Li Mg Zr
1 4 1
direct
0.0000 0.0000 0.0000
0.3760 0.3760 0.3760
0.3760 0.3760 0.8719
0.3760 0.8719 0.3760
0.8719 0.3760 0.3760
0.7500 0.7500 0.7500
```

Values from the calculation:
**Energy of formation from the pure elements**: 0.24 eV per atom

---

(11)
A relaxed TaBe2F crystal. Source: Alexandria, functional PBEsol.

POSCAR file:
```
TaBe2F
1.0
0.0000 2.8888 2.8888
2.8888 0.0000 2.8888
2.8888 2.8888 0.0000
Ta Be F
1 2 1
direct
0.0000 0.0000 0.0000
0.2500 0.2500 0.2500
0.7500 0.7500 0.7500
0.5000 0.5000 0.5000
```

Values from the calculation:
**DFT total energy**: -20.074 eV per cell

---

(12)
A relaxed NbH2Pd crystal. Source: Alexandria, functional PBEsol.

POSCAR file:
```
NbH2Pd
1.0
0.0000 2.6776 2.6776
2.6776 0.0000 2.6776
2.6776 2.6776 0.0000
Nb H Pd
1 2 1
direct
0.0000 0.0000 0.0000
0.2500 0.2500 0.2500
0.7500 0.7500 0.7500
0.5000 0.5000 0.5000
```

Values from the calculation:
**DFT total energy**: -22.575 eV per cell

---

(13)
A relaxed TaIn2As crystal. Source: Alexandria, functional PBEsol.

POSCAR file:
```
TaIn2As
1.0
3.3143 0.0000 0.0000
0.0000 3.3143 0.0000
0.0000 0.0000 7.6032
Ta In As
1 2 1
direct
0.0000 0.0000 0.0000
0.0000 0.0000 0.4216
0.5000 0.5000 0.7400
0.5000 0.5000 0.1506
```

Values from the calculation:
**Energy of formation from the pure elements**: -0.03 eV per atom

---

(14)
A relaxed Hg3Se5 crystal. Source: Alexandria, functional PBEsol.

POSCAR file:
```
Hg3Se5
1.0
3.8743 0.0000 0.0000
0.0000 3.8743 0.0000
0.0000 0.0000 13.6423
Hg Se
3 5
direct
0.0000 0.0000 0.0000
0.5000 0.5000 0.3097
0.5000 0.5000 0.6903
0.0000 0.0000 0.3107
0.0000 0.0000 0.5000
0.0000 0.0000 0.6893
0.5000 0.5000 0.0900
0.5000 0.5000 0.9100
```

Values from the calculation:
**DFT total energy**: -19.392 eV per cell

---

(15)
A relaxed Ca2BeSe crystal. Source: Alexandria, functional PBEsol.

POSCAR file:
```
Ca2BeSe
1.0
3.8074 0.0000 0.0000
0.0000 2.1722 5.3813
0.0000 -2.1722 5.3813
Ca Be Se
2 1 1
direct
0.0000 0.0000 0.0000
0.5000 0.2884 0.2884
0.0000 0.7193 0.7193
0.5000 0.5798 0.5798
```

Values from the calculation:
**Offset from the most stable computed form**: 0.0000 eV per atom

---

(16)
A relaxed Ba3ErB9O18 crystal. Source: Alexandria, functional PBEsol.

POSCAR file:
```
Ba3ErB9O18
1.0
7.1989 0.0000 0.0000
-3.5994 6.2344 0.0000
0.0000 0.0000 16.6203
Ba Er B O
6 2 18 36
direct
0.0000 0.0000 0.2500
0.0000 0.0000 0.7500
0.3333 0.6667 0.1288
0.3333 0.6667 0.3712
0.6667 0.3333 0.6288
0.6667 0.3333 0.8712
0.0000 0.0000 0.0000
0.0000 0.0000 0.5000
0.1152 0.6206 0.7500
0.1647 0.4476 0.5827
0.1647 0.4476 0.9173
0.2830 0.8353 0.5827
0.2830 0.8353 0.9173
0.3794 0.4946 0.7500
0.4476 0.2830 0.0827
0.4476 0.2830 0.4173
0.4946 0.1152 0.2500
0.5054 0.8848 0.7500
0.5524 0.7170 0.5827
0.5524 0.7170 0.9173
0.6206 0.5054 0.2500
0.7170 0.1647 0.0827
0.7170 0.1647 0.4173
0.8353 0.5524 0.0827
0.8353 0.5524 0.4173
0.8848 0.3794 0.2500
0.0034 0.2459 0.5824
0.0034 0.2459 0.9176
0.0843 0.4153 0.2500
0.1215 0.6183 0.5819
0.1215 0.6183 0.9181
0.1667 0.4563 0.7500
0.2425 0.9966 0.5824
0.2425 0.9966 0.9176
0.2459 0.2425 0.0824
0.2459 0.2425 0.4176
0.2896 0.8333 0.7500
0.3309 0.9157 0.2500
0.3817 0.5033 0.5819
0.3817 0.5033 0.9181
0.4153 0.3309 0.7500
0.4563 0.2896 0.2500
0.4967 0.8785 0.5819
0.4967 0.8785 0.9181
0.5033 0.1215 0.0819
0.5033 0.1215 0.4181
0.5437 0.7104 0.7500
0.5847 0.6691 0.2500
0.6183 0.4967 0.0819
0.6183 0.4967 0.4181
0.6691 0.0843 0.7500
0.7104 0.1667 0.2500
0.7541 0.7575 0.5824
0.7541 0.7575 0.9176
0.7575 0.0034 0.0824
0.7575 0.0034 0.4176
0.8333 0.5437 0.2500
0.8785 0.3817 0.0819
0.8785 0.3817 0.4181
0.9157 0.5847 0.7500
0.9966 0.7541 0.0824
0.9966 0.7541 0.4176
```

Values from the calculation:
**DFT total energy**: -507.640 eV per cell

---

(17)
A relaxed SrRh2Au crystal. Source: Alexandria, functional PBEsol.

POSCAR file:
```
SrRh2Au
1.0
3.0652 0.0000 0.0000
0.0000 4.7174 0.0000
0.0000 0.0000 4.9260
Sr Rh Au
1 2 1
direct
0.0000 0.0000 0.0000
0.0000 0.5000 0.5000
0.5000 0.5000 0.0000
0.5000 0.0000 0.5000
```

Values from the calculation:
**Energy of formation from the pure elements**: 0.17 eV per atom

---

(18)
A relaxed KCd2Sb crystal. Source: Alexandria, functional PBEsol.

POSCAR file:
```
KCd2Sb
1.0
1.7442 1.0070 10.6085
-1.7442 1.0070 10.6085
0.0000 -2.0140 10.6085
K Cd Sb
1 2 1
direct
0.0000 0.0000 0.0000
0.2432 0.2432 0.2432
0.7568 0.7568 0.7568
0.5000 0.5000 0.5000
```

Values from the calculation:
**DFT total energy**: -7.449 eV per cell

---

(19)
A relaxed ReSi2Rh crystal. Source: Alexandria, functional PBEsol.

POSCAR file:
```
ReSi2Rh
1.0
-1.4739 1.9905 4.4956
1.4739 -1.9905 4.4956
1.4739 1.9905 -4.4956
Re Si Rh
1 2 1
direct
0.0000 0.0000 0.0000
0.4915 0.4915 0.0000
0.7554 0.2554 0.5000
0.2689 0.7689 0.5000
```

Values from the calculation:
**Offset from the most stable computed form**: 0.2124 eV per atom

---

(20)
A relaxed LaMgSc2 crystal. Source: Alexandria, functional PBEsol.

POSCAR file:
```
LaMgSc2
1.0
-1.8009 2.7164 5.3209
1.8009 -2.7164 5.3209
1.8009 2.7164 -5.3209
La Mg Sc
1 1 2
direct
0.0000 0.0000 0.0000
0.5000 0.5000 0.0000
0.2693 0.7693 0.5000
0.7307 0.2307 0.5000
```

Values from the calculation:
**Energy of formation from the pure elements**: 0.03 eV per atom